[1]
Compound: EuEr2Tm
Source: Alexandria
Functional: GGA-PBE
Structure: optimized geometry

Calculated formation energy, eV/atom: 0.166
Polymorph energy (0 for the lowest one), meV/atom: 99.2
Energy, eV/cell: -23.206
N(E_F), states/eV/f.u.: 7.4
ρ, g/cm³: 8.418

abc: 5.848 5.848 3.780
angles: 90.00 90.00 90.00
Fractional positions:
Eu1 0.000 0.000 0.000
Er1 0.000 0.500 0.500
Er2 0.500 0.000 0.500
Tm1 0.500 0.500 0.000

=====

[2]
Compound: ZrGa2Ag2
Source: Alexandria
Functional: GGA-PBE
Structure: optimized geometry

Calculated formation energy, eV/atom: -0.053
Polymorph energy (0 for the lowest one), meV/atom: 113.1
Energy, eV/cell: -41.142
N(E_F), states/eV/f.u.: 2.2
ρ, g/cm³: 8.123

abc: 7.923 7.923 2.908
angles: 90.00 90.00 90.00
Fractional positions:
Zr1 0.000 0.000 0.000
Zr2 0.500 0.500 0.000
Ga1 0.177 0.323 0.500
Ga2 0.323 0.823 0.500
Ga3 0.677 0.177 0.500
Ga4 0.823 0.677 0.500
Ag1 0.124 0.624 0.000
Ag2 0.376 0.124 0.000
Ag3 0.624 0.876 0.000
Ag4 0.876 0.376 0.000

=====

[3]
Compound: Ba6Ga3H
Source: Alexandria
Functional: GGA-PBE
Structure: optimized geometry

Energy, eV/cell: -52.207
N(E_F), states/eV/f.u.: 10.2
ρ, g/cm³: 4.314

abc: 7.987 9.042 12.759
angles: 90.00 120.23 90.00
Fractional positions:
Ba1 0.086 0.046 0.239
Ba2 0.086 0.454 0.739
Ba3 0.219 0.687 0.075
Ba4 0.219 0.813 0.575
Ba5 0.377 0.163 0.059
Ba6 0.377 0.337 0.559
Ba7 0.623 0.663 0.441
Ba8 0.623 0.837 0.941
Ba9 0.781 0.187 0.425
Ba10 0.781 0.313 0.925
Ba11 0.914 0.546 0.261
Ba12 0.914 0.954 0.761
Ga1 0.308 0.118 0.758
Ga2 0.308 0.382 0.258
Ga3 0.500 0.000 0.500
Ga4 0.500 0.500 0.000
Ga5 0.692 0.618 0.742
Ga6 0.692 0.882 0.242
H1 0.000 0.000 0.000
H2 0.000 0.500 0.500

=====

[4]
Compound: CsK2TlCl4
Source: Alexandria
Functional: GGA-PBE
Structure: optimized geometry

E_form (uncorrected), kJ/mol of formula units: -1323
Energy, eV/cell: -26.518
N(E_F), states/eV/f.u.: 0.0
ρ, g/cm³: 3.239

abc: 8.047 4.646 8.096
angles: 90.00 109.26 90.00
Fractional positions:
Cs1 0.000 0.000 0.000
K1 0.000 0.500 0.500
K2 0.500 0.000 0.500
Tl1 0.500 0.500 0.000
Cl1 0.254 0.000 0.736
Cl2 0.267 0.500 0.270
Cl3 0.733 0.500 0.730
Cl4 0.746 0.000 0.264

=====

[5]
Compound: BeVAsSe2
Source: Alexandria
Functional: GGA-PBE
Structure: optimized geometry

E_form (uncorrected), kJ/mol of formula units: 257
Polymorph energy (0 for the lowest one), meV/atom: 0.0
Energy, eV/cell: -21.804
N(E_F), states/eV/f.u.: 2.7
ρ, g/cm³: 4.462

abc: 4.748 4.748 4.834
angles: 90.00 90.00 90.00
Fractional positions:
Be1 0.000 0.000 0.000
V1 0.500 0.500 0.500
As1 0.500 0.500 0.000
Se1 0.000 0.500 0.500
Se2 0.500 0.000 0.500

=====

[6]
Compound: TbAsRu
Source: Alexandria
Functional: GGA-PBE
Structure: optimized geometry

Calculated formation energy, eV/atom: -0.327
Energy, eV/cell: -78.148
N(E_F), states/eV/f.u.: 2.9
ρ, g/cm³: 8.796

abc: 8.656 7.435 6.562
angles: 76.12 56.49 47.38
Fractional positions:
Tb1 0.072 0.072 0.678
Tb2 0.322 0.322 0.928
Tb3 0.678 0.678 0.072
Tb4 0.928 0.928 0.322
As1 0.081 0.669 0.669
As2 0.331 0.919 0.919
As3 0.669 0.081 0.081
As4 0.919 0.331 0.331
Ru1 0.000 0.500 0.500
Ru2 0.500 0.000 0.500
Ru3 0.500 0.500 0.000
Ru4 0.500 0.500 0.500

=====

[7]
Compound: SbTeOs2
Source: Alexandria
Functional: GGA-PBE
Structure: optimized geometry

E_form (uncorrected), kJ/mol of formula units: 441
Polymorph energy (0 for the lowest one), meV/atom: 750.5
Energy, eV/cell: -25.153
N(E_F), states/eV/f.u.: 4.5
ρ, g/cm³: 13.819

abc: 5.498 5.498 5.498
angles: 147.43 120.96 69.07
Fractional positions:
Sb1 0.000 0.000 0.000
Te1 0.500 0.500 0.000
Os1 0.244 0.744 0.500
Os2 0.756 0.256 0.500

=====

[8]
Compound: BeCoI2N
Source: Alexandria
Functional: GGA-PBE
Structure: optimized geometry

E_form (uncorrected), kJ/mol of formula units: 384
Polymorph energy (0 for the lowest one), meV/atom: 16.0
Energy, eV/cell: -18.275
N(E_F), states/eV/f.u.: 5.1
ρ, g/cm³: 5.834

abc: 5.484 5.484 3.177
angles: 90.00 90.00 90.00
Fractional positions:
Be1 0.000 0.000 0.000
Co1 0.500 0.500 0.500
I1 0.000 0.500 0.000
I2 0.500 0.000 0.000
N1 0.000 0.000 0.500